An optimized crystal structure of La5Pr6Tm, computed with PBE.

a = 6.419 Å, b = 6.419 Å, c = 12.304 Å
α = 95.04°, β = 95.04°, γ = 119.99°
Atoms (fractional coordinates):
La: 0.000 0.000 0.000
La: 0.167 0.833 0.500
La: 0.334 0.666 0.000
La: 0.666 0.334 0.000
La: 0.833 0.167 0.500
Pr: 0.087 0.418 0.252
Pr: 0.250 0.250 0.748
Pr: 0.418 0.087 0.252
Pr: 0.582 0.913 0.748
Pr: 0.750 0.750 0.252
Pr: 0.913 0.582 0.748
Tm: 0.500 0.500 0.500

Space-group type ... No. 12
Spin magnetization ... 0.0 μB per formula unit
DOS(E_F) ... 21.00 states/eV/cell
Formation energy ... 15 meV per atom


An optimized crystal structure of YCr2Fe, computed with PBE.

a = 3.003 Å, b = 3.003 Å, c = 7.103 Å
α = 90.00°, β = 90.00°, γ = 90.00°
Atoms (fractional coordinates):
Y: 0.000 0.000 0.000
Cr: 0.000 0.000 0.488
Cr: 0.500 0.500 0.672
Fe: 0.500 0.500 0.299

Space-group type ... No. 99
Energy relative to the lowest polymorph listed for this composition ... 14.7 meV per atom
Spin magnetization ... 3.1 μB per formula unit
DOS(E_F) ... 3.50 states/eV/cell
Formation energy ... 308 meV per atom


An optimized crystal structure of Nd4CSe2Cl, computed with PBE.

a = 7.113 Å, b = 4.004 Å, c = 7.215 Å
α = 90.00°, β = 108.21°, γ = 90.00°
Atoms (fractional coordinates):
Nd: 0.212 0.000 0.210
Nd: 0.227 0.500 0.779
Nd: 0.773 0.500 0.221
Nd: 0.788 0.000 0.790
C: 0.000 0.500 0.000
Se: 0.500 0.000 0.000
Se: 0.500 0.500 0.500
Cl: 0.000 0.000 0.500

Electronic total energy ... -6.001 eV/atom
Space-group type ... No. 10
Spin magnetization ... 0.0 μB per formula unit
DOS(E_F) ... 2.90 states/eV/cell